The following is a GGA-PBEsol calculation of a relaxed CoP2W crystal, from Alexandria via LeMat-Bulk.

a b c (Å): 3.271 3.271 11.096
angles (deg): 90.00 90.00 120.00
Atoms (fractional coordinates):
P: 0.667 0.333 0.893
P: 0.333 0.667 0.393
W: 0.000 0.000 0.250
P: 0.333 0.667 0.107
P: 0.667 0.333 0.607
Co: 0.000 0.000 0.000
Co: 0.000 0.000 0.500
W: 0.000 0.000 0.750

Computed properties:
ΔH_f (0 K) ... -0.607 eV/atom
Symmetry ... P6_3/mmc, No. 194

The following is a GGA-PBEsol calculation of a relaxed CaGa3Pt crystal, from Alexandria via LeMat-Bulk.

a b c (Å): 5.144 5.144 5.144
angles (deg): 90.00 90.00 90.00
Atoms (fractional coordinates):
Ga: 0.000 0.500 0.000
Ga: 0.000 0.000 0.500
Pt: 0.500 0.500 0.500
Ga: 0.500 0.000 0.000
Ca: 0.000 0.000 0.000

Computed properties:
Polymorph energy (0 for the lowest one) ... 10.08 eV per formula unit
ΔH_f (0 K) ... 1.344 eV/atom
Symmetry ... Pm-3m, No. 221

The following is a GGA-PBEsol calculation of a relaxed BeIr2W crystal, from Alexandria via LeMat-Bulk.

a b c (Å): 2.729 3.947 5.149
angles (deg): 90.00 105.34 90.00
Atoms (fractional coordinates):
Ir: 0.448 0.500 0.270
W: 0.069 0.000 0.512
Be: 0.684 0.500 0.747
Ir: 0.798 0.000 0.971

Computed properties:
ΔH_f (0 K) ... -0.157 eV/atom
Symmetry ... Pm, No. 6

The following is a GGA-PBEsol calculation of a relaxed Ga3ReN crystal, from Alexandria via LeMat-Bulk.

a b c (Å): 4.800 4.800 4.800
angles (deg): 90.00 90.00 90.00
Site moments in Bohr magnetons follow the coordinates.
Atoms (fractional coordinates):
N: 0.500 0.500 0.500  1.70
Ga: 0.000 0.000 0.500  0.01
Ga: 0.000 0.500 0.000  0.01
Ga: 0.500 0.000 0.000  0.01
Re: 0.000 0.000 0.000  0.48

Computed properties:
Symmetry ... Pm-3m, No. 221

The following is a GGA-PBEsol calculation of a relaxed MgAs crystal, from Alexandria via LeMat-Bulk.

a b c (Å): 3.633 4.098 5.836
angles (deg): 110.55 108.14 90.00
Atoms (fractional coordinates):
Mg: 0.386 0.136 0.773
Mg: 0.614 0.864 0.227
As: 0.860 0.610 0.721
As: 0.140 0.390 0.279

Computed properties:
Polymorph energy (0 for the lowest one) ... 0.34 eV per formula unit
ΔH_f (0 K) ... -0.261 eV/atom
Symmetry ... Imma, No. 74

The following is a GGA-PBEsol calculation of a relaxed CrTeW crystal, from Alexandria via LeMat-Bulk.

a b c (Å): 3.155 3.155 5.249
angles (deg): 107.49 107.49 90.00
Atoms (fractional coordinates):
Cr: 0.998 0.998 0.996
W: 0.344 0.344 0.687
Te: 0.658 0.658 0.317

Computed properties:
Polymorph energy (0 for the lowest one) ... 0.71 eV per formula unit
Symmetry ... I4mm, No. 107

The following is a GGA-PBEsol calculation of a relaxed MnAlAs2 crystal, from Alexandria via LeMat-Bulk.

a b c (Å): 5.647 5.647 6.919
angles (deg): 114.09 114.09 90.00
Site moments in Bohr magnetons follow the coordinates.
Atoms (fractional coordinates):
As: 0.882 0.375 0.250  -0.07
As: 0.625 0.632 0.750  -0.07
Al: 0.500 0.500 0.000  0.05
As: 0.368 0.875 0.250  -0.07
Al: 0.750 0.250 0.500  0.05
Mn: 0.250 0.750 0.500  3.66
As: 0.125 0.118 0.750  -0.07
Mn: 0.000 0.000 0.000  3.66

Computed properties:
ΔH_f (0 K) ... 0.004 eV/atom
Symmetry ... I-42d, No. 122

The following is a GGA-PBEsol calculation of a relaxed Al8Pt crystal, from Alexandria via LeMat-Bulk.

a b c (Å): 3.944 6.280 6.280
angles (deg): 84.34 71.70 71.70
Atoms (fractional coordinates):
Al: 0.662 0.000 0.676
Al: 0.338 0.324 0.000
Al: 0.000 0.330 0.670
Al: 0.662 0.676 0.000
Al: 0.670 0.330 0.330
Pt: 0.000 0.000 0.000
Al: 0.338 0.000 0.324
Al: 0.000 0.670 0.330
Al: 0.330 0.670 0.670

Computed properties:
ΔH_f (0 K) ... -0.221 eV/atom
Symmetry ... I4/mmm, No. 139

no.,magnetization (μB/atom),raw total energy (eV per atom)
1,0.000,-8.889
2,0.000,-2.479
3,0.000,-9.521
4,0.603,-5.075
5,0.000,-3.672
6,0.000,-8.565
7,1.000,-6.012
8,0.000,-4.631